# 1
TcHgPtBr2 | PBE | optimized geometry

The calculation puts the calculated total energy at -3.3068 eV per atom. As for the uncorrected formation energy: 0.704 eV/atom. The spin magnetization is 4.66 μB/cell. As for the density: 7.6 g cm⁻³.

The structure belongs to space group P4/mmm (No. 123); the cell edges are 5.1881, 5.1881 and 5.3038 Å and the angles 90.00°, 90.00° and 90.00°. The inequivalent atoms are Tc at (0.0000, 0.0000, 0.0000), Hg at (0.5000, 0.5000, 0.0000), Pt at (0.0000, 0.0000, 0.5000) and Br at (0.0000, 0.5000, 0.5000).

# 2
PuAsRh | PBE | optimized geometry

The calculation puts the calculated total energy at -9.5036 eV per atom. The spin magnetization is 11.12 μB/cell. As for the density: 12.1 g cm⁻³.

The structure belongs to space group P4/nmm (No. 129, origin choice 2); the cell edges are 4.0488, 4.0488 and 7.0885 Å and the angles 90.00°, 90.00° and 90.00°. The inequivalent atoms are Pu at (0.2500, 0.2500, 0.1588), As at (0.2500, 0.2500, 0.7247) and Rh at (0.2500, 0.7500, 0.5000).

# 3
FeOsRu4 | PBE | optimized geometry

The calculation puts the calculated total energy at -8.7887 eV per atom. The spin magnetization is 16.82 μB/cell. As for the density: 12.1 g cm⁻³.

The structure belongs to space group F-43m (No. 216); the cell edges are 7.0854, 7.0854 and 7.0854 Å and the angles 90.00°, 90.00° and 90.00°. The inequivalent atoms are Fe at (0.0000, 0.0000, 0.0000), Os at (0.2500, 0.2500, 0.7500) and Ru at (0.1250, 0.1250, 0.3750).